# MgMn2PtN PBE relaxed
data_MgMn2PtN
_chemical_formula_sum 'Mg1 Mn2 Pt1 N1'
_cell_length_a 3.920
_cell_length_b 3.920
_cell_length_c 4.202
_cell_angle_alpha 90.00
_cell_angle_beta 90.00
_cell_angle_gamma 90.00
_space_group_name_H-M_alt 'P 4/m m m'
_space_group_IT_number 123
_space_group_name_Hall '-P 4 2'
loop_
_atom_site_label
_atom_site_type_symbol
_atom_site_fract_x
_atom_site_fract_y
_atom_site_fract_z
Mg1 Mg 0.000 0.000 0.000
Mn1 Mn 0.000 0.500 0.500
Pt1 Pt 0.500 0.500 0.000
N1 N 0.000 0.000 0.500
# * ΔE_f (raw): -0.413 eV per atom

# MnFe PBE relaxed
data_MnFe
_chemical_formula_sum 'Mn4 Fe4'
_cell_length_a 4.663
_cell_length_b 4.663
_cell_length_c 4.774
_cell_angle_alpha 90.00
_cell_angle_beta 90.00
_cell_angle_gamma 90.00
_space_group_name_H-M_alt 'P 42/m n m'
_space_group_IT_number 136
_space_group_name_Hall '-P 4n 2n'
loop_
_atom_site_label
_atom_site_type_symbol
_atom_site_fract_x
_atom_site_fract_y
_atom_site_fract_z
Mn1 Mn 0.195 0.195 0.000
Fe1 Fe 0.192 0.192 0.500
# * energy relative to the elements: 0.83 eV/atom

# Sm2Al3Au5 PBE relaxed
data_Sm2Al3Au5
_chemical_formula_sum 'Sm8 Al12 Au20'
_cell_length_a 4.540
_cell_length_b 24.559
_cell_length_c 7.242
_cell_angle_alpha 90.00
_cell_angle_beta 90.00
_cell_angle_gamma 90.00
_space_group_name_H-M_alt 'C m c 21'
_space_group_IT_number 36
_space_group_name_Hall 'C 2c -2'
loop_
_atom_site_label
_atom_site_type_symbol
_atom_site_fract_x
_atom_site_fract_y
_atom_site_fract_z
Sm1 Sm 0.000 0.021 0.000
Sm2 Sm 0.000 0.321 0.926
Al1 Al 0.000 0.108 0.673
Al2 Al 0.000 0.280 0.401
Al3 Al 0.000 0.451 0.816
Au1 Au 0.000 0.102 0.303
Au2 Au 0.000 0.206 0.115
Au3 Au 0.000 0.213 0.696
Au4 Au 0.000 0.382 0.518
Au5 Au 0.000 0.448 0.191
# * energy relative to the elements: -0.65 eV/atom
# * relative energy among the computed polymorphs: 25 meV per atom

| no. | DOS at the Fermi energy (states/eV per cell) |
| --- | --- |
| 1 | 3.17 |
| 2 | 13.30 |
| 3 | 23.12 |